DFT (GGA-PBE) results for TbPrInPd after structural relaxation.

Geometry as POSCAR:
```
TbPrInPd
1.0
0.000 3.732 3.732
3.732 0.000 3.732
3.732 3.732 0.000
Tb Pr In Pd
1 1 1 1
direct
0.000 0.000 0.000 Tb
0.500 0.500 0.500 Pr
0.750 0.750 0.750 In
0.250 0.250 0.250 Pd
```

Computed properties:
Energy of formation = -0.5414 eV per atom
DFT total energy = -19.5 eV for the cell shown
Crystal system = cubic



DFT (GGA-PBE) results for PrTlInPd after structural relaxation.

Geometry as POSCAR:
```
PrTlInPd
1.0
0.000 3.643 3.643
3.643 0.000 3.643
3.643 3.643 0.000
Pr Tl In Pd
1 1 1 1
direct
0.000 0.000 0.000 Pr
0.250 0.250 0.250 Tl
0.500 0.500 0.500 In
0.750 0.750 0.750 Pd
```

Computed properties:
Energy of formation = -0.4405 eV per atom
DFT total energy = -16.8 eV for the cell shown
Crystal system = cubic



DFT (GGA-PBE) results for PrYInPd after structural relaxation.

Geometry as POSCAR:
```
PrYInPd
1.0
0.000 3.728 3.728
3.728 0.000 3.728
3.728 3.728 0.000
Pr Y In Pd
1 1 1 1
direct
0.000 0.000 0.000 Pr
0.500 0.500 0.500 Y
0.750 0.750 0.750 In
0.250 0.250 0.250 Pd
```

Computed properties:
Energy of formation = -0.5574 eV per atom
DFT total energy = -21.4 eV for the cell shown
Crystal system = cubic



DFT (GGA-PBE) results for Pr3Zn2InPd9 after structural relaxation.

Geometry as POSCAR:
```
Pr3Zn2InPd9
1.0
5.711 0.000 0.000
-2.856 4.946 0.000
0.000 0.000 11.989
Pr Zn In Pd
3 2 1 9
direct
0.000 0.000 0.000 Pr
0.333 0.667 0.761 Pr
0.667 0.333 0.239 Pr
0.333 0.667 0.161 Zn
0.667 0.333 0.839 Zn
0.000 0.000 0.500 In
0.000 0.500 0.000 Pd
0.165 0.331 0.319 Pd
0.165 0.835 0.319 Pd
0.331 0.165 0.681 Pd
0.500 0.000 0.000 Pd
0.500 0.500 0.000 Pd
0.669 0.835 0.319 Pd
0.835 0.165 0.681 Pd
0.835 0.669 0.681 Pd
```

Computed properties:
Energy of formation = -0.5084 eV per atom
DFT total energy = -74.0 eV for the cell shown
Crystal system = trigonal



DFT (GGA-PBE) results for Pr2ZnInPd6 after structural relaxation.

Geometry as POSCAR:
```
Pr2ZnInPd6
1.0
5.581 0.000 0.000
2.782 5.918 0.000
2.774 0.853 6.064
Pr Zn In Pd
2 1 1 6
direct
0.001 0.243 0.254 Pr
0.999 0.757 0.746 Pr
0.500 0.000 0.500 Zn
0.500 0.500 0.000 In
0.010 0.192 0.796 Pd
0.316 0.431 0.438 Pd
0.498 0.810 0.202 Pd
0.502 0.190 0.798 Pd
0.684 0.569 0.562 Pd
0.990 0.808 0.204 Pd
```

Computed properties:
Energy of formation = -0.5917 eV per atom
DFT total energy = -50.6 eV for the cell shown
Crystal system = triclinic



DFT (GGA-PBE) results for PrZn2InPd5 after structural relaxation.

Geometry as POSCAR:
```
PrZn2InPd5
1.0
4.248 0.000 0.000
0.000 4.248 0.000
0.000 0.000 9.211
Pr Zn In Pd
1 2 1 5
direct
0.000 0.000 0.000 Pr
0.500 0.500 0.370 Zn
0.500 0.500 0.630 Zn
0.000 0.000 0.500 In
0.000 0.500 0.230 Pd
0.000 0.500 0.770 Pd
0.500 0.000 0.230 Pd
0.500 0.000 0.770 Pd
0.500 0.500 0.000 Pd
```

Computed properties:
Energy of formation = -0.4323 eV per atom
DFT total energy = -39.9 eV for the cell shown
Crystal system = tetragonal



DFT (GGA-PBE) results for PrZnInPd3 after structural relaxation.

Geometry as POSCAR:
```
PrZnInPd3
1.0
3.419 -6.386 0.000
3.419 6.386 0.000
0.000 0.000 5.778
Pr Zn In Pd
2 2 2 6
direct
0.188 0.812 0.750 Pr
0.812 0.188 0.250 Pr
0.138 0.862 0.250 Zn
0.862 0.138 0.750 Zn
0.434 0.566 0.750 In
0.566 0.434 0.250 In
0.197 0.197 0.000 Pd
0.197 0.197 0.500 Pd
0.339 0.661 0.250 Pd
0.661 0.339 0.750 Pd
0.803 0.803 0.000 Pd
0.803 0.803 0.500 Pd
```

Computed properties:
Energy of formation = -0.4336 eV per atom
DFT total energy = -53.9 eV for the cell shown
Crystal system = orthorhombic



DFT (GGA-PBE) results for Pr2Zn4InPd3 after structural relaxation.

Geometry as POSCAR:
```
Pr2Zn4InPd3
1.0
4.117 0.000 0.000
0.000 4.117 0.000
0.000 0.000 11.888
Pr Zn In Pd
2 4 1 3
direct
0.000 0.500 0.239 Pr
0.500 0.000 0.761 Pr
0.000 0.000 0.000 Zn
0.000 0.500 0.647 Zn
0.500 0.000 0.353 Zn
0.500 0.500 0.000 Zn
0.000 0.000 0.500 In
0.000 0.500 0.863 Pd
0.500 0.000 0.137 Pd
0.500 0.500 0.500 Pd
```

Computed properties:
Energy of formation = -0.5470 eV per atom
DFT total energy = -38.4 eV for the cell shown
Crystal system = tetragonal



The calculation returns the following spin magnetization values, one per record and in order: 0.0 0.0 0.0 0.0 0.0 0.0 0.0 0.0 μB/cell.